1.
Computed, not measured: a relaxed structure of CaTb2Nd6Tm at the PBE-GGA level of DFT.

## Properties
**ΔH_f (0 K)**: 0.12 eV/atom
**Energy**: -86.26 eV/cell

```
CaTb2Nd6Tm
1.0
4.668 -7.730 0.000
4.668 7.730 0.000
-1.059 0.000 9.694
Ca Tb Nd Tm
2 4 12 2
direct
0.026 0.974 0.750
0.974 0.026 0.250
0.201 0.308 0.545
0.308 0.201 0.045
0.692 0.799 0.955
0.799 0.692 0.455
0.013 0.557 0.684
0.129 0.752 0.055
0.248 0.871 0.445
0.291 0.502 0.882
0.443 0.987 0.816
0.498 0.709 0.618
0.502 0.291 0.382
0.557 0.013 0.184
0.709 0.498 0.118
0.752 0.129 0.555
0.871 0.248 0.945
0.987 0.443 0.316
0.410 0.590 0.250
0.590 0.410 0.750
```



2.
Computed, not measured: a relaxed structure of TbLuMgCr at the PBE-GGA level of DFT.

## Properties
**ΔH_f (0 K)**: 0.14 eV/atom
**Energy**: -19.81 eV/cell

```
TbLuMgCr
1.0
0.000 3.641 3.641
3.641 0.000 3.641
3.641 3.641 0.000
Tb Lu Mg Cr
1 1 1 1
direct
0.000 0.000 0.000
0.500 0.500 0.500
0.750 0.750 0.750
0.250 0.250 0.250
```



3.
Computed, not measured: a relaxed structure of Sm5Ge2O12 at the PBE-GGA level of DFT.

## Properties
**Formation energy from raw total energies**: -2.82 eV/atom
**Energy**: -145.95 eV/cell

```
Sm5Ge2O12
1.0
6.283 -2.945 0.000
6.283 2.945 0.000
-2.213 0.000 7.145
Sm Ge O
5 2 12
direct
0.000 0.000 0.000
0.305 0.305 0.663
0.307 0.307 0.143
0.693 0.693 0.857
0.695 0.695 0.337
0.245 0.755 0.500
0.755 0.245 0.500
0.001 0.001 0.675
0.095 0.597 0.922
0.102 0.584 0.422
0.403 0.905 0.078
0.416 0.898 0.578
0.499 0.499 0.674
0.501 0.501 0.326
0.584 0.102 0.422
0.597 0.095 0.922
0.898 0.416 0.578
0.905 0.403 0.078
0.999 0.999 0.325
```